No. 1
Compound: PRhCl
Source: the Alexandria database
Functional: SCAN
Structure: PBEsol geometry

Cell lengths 2.9669, 2.9669, 5.8383 Å; angles 104.71, 104.71, 90.05 degrees
Fractional positions:
Rh 0.6851 0.6851 0.3702
Cl 0.0213 0.0213 0.0427
P 0.2936 0.2936 0.5871

Total magnetization in μB/f.u.: 0.00
Mass density in Mg/m³: 5.863
Offset from the most stable computed form in eV/atom: 0.000
DFT total energy in Ry/atom: -1.28337
Space group: No. 107

=====

No. 2
Compound: HfTe3C
Source: the Alexandria database
Functional: SCAN
Structure: PBEsol geometry

Cell lengths 5.4488, 5.4488, 5.4488 Å; angles 90.00, 90.00, 90.00 degrees
Fractional positions:
Te 0.5000 0.0000 0.0000
Te 0.0000 0.0000 0.5000
Hf 0.0000 0.0000 0.0000
C 0.5000 0.5000 0.5000
Te 0.0000 0.5000 0.0000

Total magnetization in μB/f.u.: 0.75
Mass density in Mg/m³: 5.885
DFT total energy in Ry/atom: -2.61949
Space group: No. 221

=====

No. 3
Compound: NdEuHg2
Source: the Alexandria database
Functional: SCAN
Structure: PBEsol geometry

Cell lengths 5.3362, 5.3362, 5.3362 Å; angles 60.00, 60.00, 60.00 degrees
Fractional positions:
Hg 0.7500 0.7500 0.7500
Nd 0.5000 0.5000 0.5000
Eu 0.0000 0.0000 0.0000
Hg 0.2500 0.2500 0.2500

Total magnetization in μB/f.u.: 7.10
Mass density in Mg/m³: 10.778
DFT total energy in Ry/atom: -4.34478
Space group: No. 225
Formation energy from the elements in eV/atom: -0.707

=====

No. 4
Compound: SiIr2Cl
Source: the Alexandria database
Functional: SCAN
Structure: PBEsol geometry

Cell lengths 4.2858, 4.2858, 4.2858 Å; angles 60.00, 60.00, 60.00 degrees
Fractional positions:
Cl 0.0000 0.0000 0.0000
Si 0.5000 0.5000 0.5000
Ir 0.2500 0.2500 0.2500
Ir 0.7500 0.7500 0.7500

Total magnetization in μB/f.u.: 0.00
Mass density in Mg/m³: 13.364
Offset from the most stable computed form in eV/atom: 0.156
DFT total energy in Ry/atom: -2.89496
Space group: No. 225

=====

No. 5
Compound: LaHfPd2
Source: the Alexandria database
Functional: SCAN
Structure: PBEsol geometry

Cell lengths 4.8736, 4.8736, 4.8736 Å; angles 60.00, 60.00, 60.00 degrees
Fractional positions:
Pd 0.2500 0.2500 0.2500
La 0.0000 0.0000 0.0000
Hf 0.5000 0.5000 0.5000
Pd 0.7500 0.7500 0.7500

Total magnetization in μB/f.u.: 0.00
Mass density in Mg/m³: 10.757
DFT total energy in Ry/atom: -3.18743
Space group: No. 225
Formation energy from the elements in eV/atom: -0.535

=====

No. 6
Compound: ScAlPb2
Source: the Alexandria database
Functional: SCAN
Structure: PBEsol geometry

Cell lengths 3.4050, 5.2115, 5.9016 Å; angles 109.99, 106.77, 90.00 degrees
Fractional positions:
Sc 0.5139 0.4543 0.0278
Al 0.2371 0.7931 0.4743
Pb 0.9883 0.9419 0.9766
Pb 0.7607 0.3108 0.5213

Total magnetization in μB/f.u.: 0.00
Mass density in Mg/m³: 8.623
DFT total energy in Ry/atom: -3.20049
Space group: No. 8
Formation energy from the elements in eV/atom: -0.157

=====

What did the fifth record say?
Compound: LaHfPd2
Source: the Alexandria database
Functional: SCAN
Structure: PBEsol geometry

Cell lengths 4.8736, 4.8736, 4.8736 Å; angles 60.00, 60.00, 60.00 degrees
Fractional positions:
Pd 0.2500 0.2500 0.2500
La 0.0000 0.0000 0.0000
Hf 0.5000 0.5000 0.5000
Pd 0.7500 0.7500 0.7500

Total magnetization in μB/f.u.: 0.00
Mass density in Mg/m³: 10.757
DFT total energy in Ry/atom: -3.18743
Space group: No. 225
Formation energy from the elements in eV/atom: -0.535